Entry 1:
## TbTlTe3As (GGA-PBE)

Data for a relaxed structure of TbTlTe3As.

Unit cell a=8.220 b=8.220 c=11.234 alpha=90.00 beta=90.00 gamma=149.02
Positions (direct):
Tb  0.000  0.000  0.000
Tb  0.000  0.000  0.500
Tl  0.241  0.759  0.750
Tl  0.759  0.241  0.250
Te  0.095  0.905  0.250
Te  0.362  0.638  0.043
Te  0.362  0.638  0.457
Te  0.638  0.362  0.543
Te  0.638  0.362  0.957
Te  0.905  0.095  0.750
As  0.454  0.546  0.250
As  0.546  0.454  0.750

The value obtained for the total DFT energy (no corrections) is -4.020 eV/atom. The value obtained for the magnetization is 0.0 μB per formula unit. As for the crystal system: orthorhombic.


Entry 2:
## Tb3ThAs4 (GGA-PBE)

Data for a relaxed structure of Tb3ThAs4.

Unit cell a=7.216 b=7.216 c=4.177 alpha=90.00 beta=90.00 gamma=109.48
Positions (direct):
Tb  0.000  0.000  0.000
Tb  0.000  0.500  0.500
Tb  0.500  0.000  0.500
Th  0.500  0.500  0.000
As  0.246  0.246  0.500
As  0.248  0.752  0.000
As  0.752  0.248  0.000
As  0.754  0.754  0.500

The value obtained for the total DFT energy (no corrections) is -6.509 eV/atom. The value obtained for the magnetization is 0.0 μB per formula unit. As for the crystal system: orthorhombic.


Entry 3:
## TbTlAs (GGA-PBE)

Data for a relaxed structure of TbTlAs.

Unit cell a=4.980 b=4.980 c=4.980 alpha=60.00 beta=60.00 gamma=60.00
Positions (direct):
Tb  0.000  0.000  0.000
Tl  0.750  0.750  0.750
As  0.500  0.500  0.500

The value obtained for the total DFT energy (no corrections) is -3.940 eV/atom. The value obtained for the magnetization is 0.0 μB per formula unit. As for the crystal system: cubic.


Entry 4:
## Tb2TmAs3 (GGA-PBE)

Data for a relaxed structure of Tb2TmAs3.

Unit cell a=4.108 b=4.108 c=10.055 alpha=90.00 beta=90.00 gamma=120.00
Positions (direct):
Tb  0.333  0.667  0.331
Tb  0.667  0.333  0.669
Tm  0.000  0.000  0.000
As  0.000  0.000  0.500
As  0.333  0.667  0.838
As  0.667  0.333  0.162

The value obtained for the total DFT energy (no corrections) is -6.142 eV/atom. The value obtained for the magnetization is 0.0 μB per formula unit. As for the crystal system: trigonal.


Entry 5:
## TbTm2As3 (GGA-PBE)

Data for a relaxed structure of TbTm2As3.

Unit cell a=4.084 b=4.084 c=9.996 alpha=90.00 beta=90.00 gamma=120.00
Positions (direct):
Tb  0.000  0.000  0.000
Tm  0.333  0.667  0.335
Tm  0.667  0.333  0.665
As  0.000  0.000  0.500
As  0.333  0.667  0.829
As  0.667  0.333  0.171

The value obtained for the total DFT energy (no corrections) is -6.103 eV/atom. The value obtained for the magnetization is 0.0 μB per formula unit. As for the crystal system: trigonal.


Entry 6:
## TbTmAs (GGA-PBE)

Data for a relaxed structure of TbTmAs.

Unit cell a=4.787 b=4.787 c=4.787 alpha=60.00 beta=60.00 gamma=60.00
Positions (direct):
Tb  0.000  0.000  0.000
Tm  0.500  0.500  0.500
As  0.250  0.250  0.250

The value obtained for the total DFT energy (no corrections) is -5.304 eV/atom. The value obtained for the magnetization is 0.0 μB per formula unit. As for the crystal system: cubic.


Entry 7:
## TbUAs (GGA-PBE)

Data for a relaxed structure of TbUAs.

Unit cell a=4.851 b=4.851 c=4.851 alpha=60.00 beta=60.00 gamma=60.00
Positions (direct):
Tb  0.000  0.000  0.000
U  0.500  0.500  0.500
As  0.250  0.250  0.250

The value obtained for the total DFT energy (no corrections) is -6.999 eV/atom. The value obtained for the magnetization is 3.9 μB per formula unit. As for the crystal system: cubic.


Entry 8:
## TbAsW (GGA-PBE)

Data for a relaxed structure of TbAsW.

Unit cell a=4.504 b=4.504 c=4.504 alpha=60.00 beta=60.00 gamma=60.00
Positions (direct):
Tb  0.000  0.000  0.000
As  0.250  0.250  0.250
W  0.500  0.500  0.500

The value obtained for the total DFT energy (no corrections) is -7.213 eV/atom. The value obtained for the magnetization is 0.0 μB per formula unit. As for the crystal system: cubic.


Entry 9:
## TbYAs (GGA-PBE)

Data for a relaxed structure of TbYAs.

Unit cell a=4.831 b=4.831 c=4.831 alpha=60.00 beta=60.00 gamma=60.00
Positions (direct):
Tb  0.000  0.000  0.000
Y  0.500  0.500  0.500
As  0.250  0.250  0.250

The value obtained for the total DFT energy (no corrections) is -6.032 eV/atom. The value obtained for the magnetization is 0.0 μB per formula unit. As for the crystal system: cubic.


Entry 10:
## Tb2YAs3 (GGA-PBE)

Data for a relaxed structure of Tb2YAs3.

Unit cell a=4.129 b=4.129 c=10.124 alpha=90.00 beta=90.00 gamma=120.00
Positions (direct):
Tb  0.333  0.667  0.333
Tb  0.667  0.333  0.667
Y  0.000  0.000  0.000
As  0.000  0.000  0.500
As  0.333  0.667  0.834
As  0.667  0.333  0.166

The value obtained for the total DFT energy (no corrections) is -6.492 eV/atom. The value obtained for the magnetization is 0.0 μB per formula unit. As for the crystal system: trigonal.


Entry 11:
## TbY2As3 (GGA-PBE)

Data for a relaxed structure of TbY2As3.

Unit cell a=4.125 b=4.125 c=10.112 alpha=90.00 beta=90.00 gamma=120.00
Positions (direct):
Tb  0.000  0.000  0.000
Y  0.333  0.667  0.334
Y  0.667  0.333  0.666
As  0.000  0.000  0.500
As  0.333  0.667  0.833
As  0.667  0.333  0.167

The value obtained for the total DFT energy (no corrections) is -6.803 eV/atom. The value obtained for the magnetization is 0.0 μB per formula unit. As for the crystal system: trigonal.


Entry 12:
## TbZrAs (GGA-PBE)

Data for a relaxed structure of TbZrAs.

Unit cell a=4.680 b=4.680 c=4.680 alpha=60.00 beta=60.00 gamma=60.00
Positions (direct):
Tb  0.000  0.000  0.000
Zr  0.500  0.500  0.500
As  0.250  0.250  0.250

The value obtained for the total DFT energy (no corrections) is -6.541 eV/atom. The value obtained for the magnetization is 0.5 μB per formula unit. As for the crystal system: cubic.


Entry 13:
## TcAs3 (GGA-PBE)

Data for a relaxed structure of TcAs3.

Unit cell a=16.563 b=3.285 c=5.523 alpha=90.00 beta=90.00 gamma=90.00
Positions (direct):
Tc  0.154  0.250  0.155
Tc  0.346  0.750  0.655
Tc  0.654  0.250  0.345
Tc  0.846  0.750  0.845
As  0.017  0.250  0.344
As  0.119  0.750  0.834
As  0.210  0.750  0.468
As  0.290  0.250  0.968
As  0.381  0.250  0.334
As  0.483  0.750  0.844
As  0.517  0.250  0.156
As  0.619  0.750  0.666
As  0.710  0.750  0.032
As  0.790  0.250  0.532
As  0.881  0.250  0.166
As  0.983  0.750  0.656

The value obtained for the total DFT energy (no corrections) is -6.242 eV/atom. The value obtained for the magnetization is 0.0 μB per formula unit. As for the crystal system: orthorhombic.


Entry 14:
## TcAs (GGA-PBE)

Data for a relaxed structure of TcAs.

Unit cell a=6.028 b=3.192 c=6.444 alpha=90.00 beta=90.00 gamma=90.00
Positions (direct):
Tc  0.008  0.250  0.196
Tc  0.492  0.750  0.696
Tc  0.508  0.250  0.304
Tc  0.992  0.750  0.804
As  0.194  0.250  0.562
As  0.306  0.750  0.062
As  0.694  0.250  0.938
As  0.806  0.750  0.438

The value obtained for the total DFT energy (no corrections) is -7.711 eV/atom. The value obtained for the magnetization is 0.0 μB per formula unit. As for the crystal system: orthorhombic.


Entry 15:
## TcAs (GGA-PBE)

Data for a relaxed structure of TcAs.

Unit cell a=4.986 b=4.413 c=6.408 alpha=90.00 beta=90.00 gamma=90.00
Positions (direct):
Tc  0.000  0.000  0.000
Tc  0.250  0.500  0.171
Tc  0.500  0.000  0.000
Tc  0.750  0.500  0.829
As  0.250  0.000  0.367
As  0.250  0.500  0.781
As  0.750  0.000  0.633
As  0.750  0.500  0.219

The value obtained for the total DFT energy (no corrections) is -7.427 eV/atom. The value obtained for the magnetization is 0.0 μB per formula unit. As for the crystal system: orthorhombic.


Entry 16:
## Tc2As (GGA-PBE)

Data for a relaxed structure of Tc2As.

Unit cell a=7.853 b=7.853 c=7.853 alpha=60.00 beta=60.00 gamma=60.00
Positions (direct):
Tc  0.000  0.000  0.000
Tc  0.000  0.000  0.500
Tc  0.000  0.500  0.000
Tc  0.500  0.000  0.000
As  0.125  0.125  0.125
As  0.875  0.875  0.875

The value obtained for the total DFT energy (no corrections) is -5.805 eV/atom. The value obtained for the magnetization is 6.9 μB per formula unit. As for the crystal system: cubic.


Entry 17:
## TcAs (GGA-PBE)

Data for a relaxed structure of TcAs.

Unit cell a=3.908 b=3.908 c=3.908 alpha=60.00 beta=60.00 gamma=60.00
Positions (direct):
Tc  0.000  0.000  0.000
As  0.250  0.250  0.250

The value obtained for the total DFT energy (no corrections) is -7.094 eV/atom. The value obtained for the magnetization is 0.0 μB per formula unit. As for the crystal system: cubic.


Entry 18:
## TcAs3 (GGA-PBE)

Data for a relaxed structure of TcAs3.

Unit cell a=9.509 b=3.143 c=10.805 alpha=90.00 beta=108.57 gamma=90.00
Positions (direct):
Tc  0.072  0.250  0.352
Tc  0.364  0.250  0.799
Tc  0.636  0.750  0.201
Tc  0.928  0.750  0.648
As  0.076  0.750  0.164
As  0.121  0.250  0.604
As  0.167  0.750  0.857
As  0.297  0.750  0.403
As  0.426  0.250  0.069
As  0.449  0.750  0.656
As  0.551  0.250  0.344
As  0.574  0.750  0.931
As  0.703  0.250  0.597
As  0.833  0.250  0.143
As  0.879  0.750  0.396
As  0.924  0.250  0.836

The value obtained for the total DFT energy (no corrections) is -6.136 eV/atom. The value obtained for the magnetization is 0.0 μB per formula unit. As for the crystal system: monoclinic.


Entry 19:
## Tc2As (GGA-PBE)

Data for a relaxed structure of Tc2As.

Unit cell a=5.160 b=5.160 c=5.160 alpha=60.00 beta=60.00 gamma=60.00
Positions (direct):
Tc  0.000  0.000  0.000
Tc  0.000  0.000  0.500
Tc  0.000  0.500  0.000
Tc  0.500  0.000  0.000
As  0.375  0.375  0.375
As  0.625  0.625  0.625

The value obtained for the total DFT energy (no corrections) is -7.862 eV/atom. The value obtained for the magnetization is 0.0 μB per formula unit. As for the crystal system: cubic.


Entry 20:
## TcAs (GGA-PBE)

Data for a relaxed structure of TcAs.

Unit cell a=3.125 b=3.125 c=3.629 alpha=90.00 beta=90.00 gamma=120.00
Positions (direct):
Tc  0.000  0.000  0.000
As  0.333  0.667  0.500

The value obtained for the total DFT energy (no corrections) is -7.559 eV/atom. The value obtained for the magnetization is 0.0 μB per formula unit. As for the crystal system: hexagonal.


Entry 21:
## TcTeAs2 (GGA-PBE)

Data for a relaxed structure of TcTeAs2.

Unit cell a=4.706 b=4.706 c=4.706 alpha=60.00 beta=60.00 gamma=60.00
Positions (direct):
Tc  0.000  0.000  0.000
Te  0.750  0.750  0.750
As  0.250  0.250  0.250
As  0.500  0.500  0.500

The value obtained for the total DFT energy (no corrections) is -5.190 eV/atom. The value obtained for the magnetization is 0.0 μB per formula unit. As for the crystal system: cubic.


Entry 22:
## TcTeAs (GGA-PBE)

Data for a relaxed structure of TcTeAs.

Unit cell a=4.439 b=4.439 c=4.439 alpha=60.00 beta=60.00 gamma=60.00
Positions (direct):
Tc  0.000  0.000  0.000
Te  0.250  0.250  0.250
As  0.750  0.750  0.750

The value obtained for the total DFT energy (no corrections) is -5.942 eV/atom. The value obtained for the magnetization is 0.0 μB per formula unit. As for the crystal system: cubic.


Entry 23:
## UTcAs (GGA-PBE)

Data for a relaxed structure of UTcAs.

Unit cell a=4.449 b=4.449 c=4.449 alpha=60.00 beta=60.00 gamma=60.00
Positions (direct):
U  0.000  0.000  0.000
Tc  0.500  0.500  0.500
As  0.750  0.750  0.750

The value obtained for the total DFT energy (no corrections) is -8.554 eV/atom. The value obtained for the magnetization is 2.0 μB per formula unit. As for the crystal system: cubic.


Entry 24:
## UTcAs (GGA-PBE)

Data for a relaxed structure of UTcAs.

Unit cell a=4.539 b=4.539 c=4.539 alpha=60.00 beta=60.00 gamma=60.00
Positions (direct):
U  0.000  0.000  0.000
Tc  0.250  0.250  0.250
As  0.750  0.750  0.750

The value obtained for the total DFT energy (no corrections) is -8.228 eV/atom. The value obtained for the magnetization is 0.3 μB per formula unit. As for the crystal system: cubic.


Entry 25:
## YTcAs2 (GGA-PBE)

Data for a relaxed structure of YTcAs2.

Unit cell a=4.714 b=4.714 c=4.714 alpha=60.00 beta=60.00 gamma=60.00
Positions (direct):
Y  0.000  0.000  0.000
Tc  0.750  0.750  0.750
As  0.250  0.250  0.250
As  0.500  0.500  0.500

The value obtained for the total DFT energy (no corrections) is -6.526 eV/atom. The value obtained for the magnetization is 0.0 μB per formula unit. As for the crystal system: cubic.


Entry 26:
## YTc2As (GGA-PBE)

Data for a relaxed structure of YTc2As.

Unit cell a=4.628 b=4.628 c=4.628 alpha=60.00 beta=60.00 gamma=60.00
Positions (direct):
Y  0.000  0.000  0.000
Tc  0.250  0.250  0.250
Tc  0.500  0.500  0.500
As  0.750  0.750  0.750

The value obtained for the total DFT energy (no corrections) is -7.812 eV/atom. The value obtained for the magnetization is 0.9 μB per formula unit. As for the crystal system: cubic.


Entry 27:
## Y2TcAs (GGA-PBE)

Data for a relaxed structure of Y2TcAs.

Unit cell a=4.822 b=4.822 c=4.822 alpha=60.00 beta=60.00 gamma=60.00
Positions (direct):
Y  0.000  0.000  0.000
Y  0.250  0.250  0.250
Tc  0.750  0.750  0.750
As  0.500  0.500  0.500

The value obtained for the total DFT energy (no corrections) is -7.101 eV/atom. The value obtained for the magnetization is 0.0 μB per formula unit. As for the crystal system: cubic.


Entry 28:
## YTcAs2 (GGA-PBE)

Data for a relaxed structure of YTcAs2.

Unit cell a=4.716 b=4.716 c=4.716 alpha=60.00 beta=60.00 gamma=60.00
Positions (direct):
Y  0.000  0.000  0.000
Tc  0.250  0.250  0.250
As  0.500  0.500  0.500
As  0.750  0.750  0.750

The value obtained for the total DFT energy (no corrections) is -6.526 eV/atom. The value obtained for the magnetization is 0.0 μB per formula unit. As for the crystal system: cubic.